(1)
Rh2SO2: optimized geometry, PBE.

Unit cell a=4.054 b=4.054 c=7.899 alpha=90.00 beta=90.00 gamma=90.00
Atoms (fractional coordinates):
Rh1 0.000 0.500 0.250
Rh2 0.000 0.500 0.750
Rh3 0.500 0.000 0.250
Rh4 0.500 0.000 0.750
S1 0.000 0.000 0.000
S2 0.500 0.500 0.500
O1 0.000 0.000 0.331
O2 0.000 0.000 0.669
O3 0.500 0.500 0.169
O4 0.500 0.500 0.831

Properties
- Energy: -54.8 eV for the cell shown
- Space-group type: No. 139
- Size of the total moment: 0.0 μB per cell


(2)
TaRhS2O: optimized geometry, PBE.

Unit cell a=4.860 b=4.860 c=3.806 alpha=90.00 beta=90.00 gamma=90.00
Atoms (fractional coordinates):
Ta1 0.000 0.000 0.000
Rh1 0.500 0.500 0.500
S1 0.000 0.500 0.000
S2 0.500 0.000 0.000
O1 0.000 0.000 0.500

Properties
- Energy: -35.0 eV for the cell shown
- Space-group type: No. 123
- Size of the total moment: 1.9 μB per cell


(3)
SbRh6O12: optimized geometry, PBE.

Unit cell a=6.048 b=6.048 c=6.048 alpha=98.90 beta=98.90 gamma=98.90
Atoms (fractional coordinates):
Sb1 0.000 0.000 0.000
Rh1 0.143 0.301 0.578
Rh2 0.301 0.578 0.143
Rh3 0.422 0.857 0.699
Rh4 0.578 0.143 0.301
Rh5 0.699 0.422 0.857
Rh6 0.857 0.699 0.422
O1 0.044 0.933 0.678
O2 0.067 0.322 0.956
O3 0.179 0.588 0.435
O4 0.322 0.956 0.067
O5 0.412 0.565 0.821
O6 0.435 0.179 0.588
O7 0.565 0.821 0.412
O8 0.588 0.435 0.179
O9 0.678 0.044 0.933
O10 0.821 0.412 0.565
O11 0.933 0.678 0.044
O12 0.956 0.067 0.322

Properties
- Energy: -118.7 eV for the cell shown
- Space-group type: No. 148
- Size of the total moment: 0.0 μB per cell


(4)
SbRh2O6: optimized geometry, PBE.

Unit cell a=9.069 b=9.069 c=4.385 alpha=90.00 beta=90.00 gamma=120.00
Atoms (fractional coordinates):
Sb1 0.000 0.000 0.000
Sb2 0.333 0.667 0.496
Sb3 0.667 0.333 0.504
Rh1 0.000 0.338 0.000
Rh2 0.000 0.662 0.000
Rh3 0.338 0.000 0.000
Rh4 0.338 0.338 0.000
Rh5 0.662 0.000 0.000
Rh6 0.662 0.662 0.000
O1 0.107 0.554 0.746
O2 0.115 0.229 0.771
O3 0.115 0.885 0.771
O4 0.219 0.438 0.254
O5 0.219 0.781 0.254
O6 0.229 0.115 0.229
O7 0.438 0.219 0.746
O8 0.446 0.554 0.746
O9 0.446 0.893 0.746
O10 0.554 0.107 0.254
O11 0.554 0.446 0.254
O12 0.562 0.781 0.254
O13 0.771 0.885 0.771
O14 0.781 0.219 0.746
O15 0.781 0.562 0.746
O16 0.885 0.115 0.229
O17 0.885 0.771 0.229
O18 0.893 0.446 0.254

Properties
- Energy above the lowest structure with this stoichiometry: 109 meV/atom
- Energy: -169.2 eV for the cell shown
- Space-group type: No. 164
- Size of the total moment: 2.5 μB per cell


(5)
SbRhO3: optimized geometry, PBE.

Unit cell a=3.933 b=3.933 c=3.933 alpha=90.00 beta=90.00 gamma=90.00
Atoms (fractional coordinates):
Sb1 0.000 0.000 0.000
Rh1 0.500 0.500 0.500
O1 0.000 0.500 0.500
O2 0.500 0.000 0.500
O3 0.500 0.500 0.000

Properties
- Energy: -28.4 eV for the cell shown
- Space-group type: No. 221
- Size of the total moment: 0.0 μB per cell


(6)
SbRhO4: optimized geometry, PBE.

Unit cell a=5.665 b=5.665 c=5.665 alpha=108.23 beta=108.23 gamma=111.99
Atoms (fractional coordinates):
Sb1 0.000 0.000 0.000
Sb2 0.750 0.250 0.500
Rh1 0.257 0.757 0.500
Rh2 0.507 0.507 0.000
O1 0.058 0.249 0.809
O2 0.441 0.249 0.191
O3 0.507 0.199 0.693
O4 0.507 0.814 0.307
O5 0.564 0.757 0.807
O6 0.949 0.757 0.193
O7 0.999 0.308 0.309
O8 0.999 0.691 0.691

Properties
- Energy: -75.8 eV for the cell shown
- Space-group type: No. 109
- Size of the total moment: 0.0 μB per cell


(7)
SbRhO4: optimized geometry, PBE.

Unit cell a=6.534 b=6.652 c=3.213 alpha=90.00 beta=90.00 gamma=90.00
Atoms (fractional coordinates):
Sb1 0.000 0.000 0.000
Sb2 0.500 0.500 0.000
Rh1 0.000 0.500 0.500
Rh2 0.500 0.000 0.500
O1 0.000 0.192 0.500
O2 0.000 0.808 0.500
O3 0.194 0.500 0.000
O4 0.306 0.000 0.000
O5 0.500 0.308 0.500
O6 0.500 0.692 0.500
O7 0.694 0.000 0.000
O8 0.806 0.500 0.000

Properties
- Energy: -75.4 eV for the cell shown
- Space-group type: No. 65
- Size of the total moment: 0.0 μB per cell


(8)
SbRhO2: optimized geometry, PBE.

Unit cell a=4.060 b=4.060 c=13.422 alpha=90.00 beta=90.00 gamma=90.00
Atoms (fractional coordinates):
Sb1 0.000 0.000 0.000
Sb2 0.000 0.500 0.250
Sb3 0.500 0.000 0.750
Sb4 0.500 0.500 0.500
Rh1 0.000 0.000 0.500
Rh2 0.000 0.500 0.750
Rh3 0.500 0.000 0.250
Rh4 0.500 0.500 0.000
O1 0.235 0.250 0.625
O2 0.250 0.735 0.875
O3 0.250 0.765 0.375
O4 0.265 0.250 0.125
O5 0.735 0.750 0.125
O6 0.750 0.235 0.375
O7 0.750 0.265 0.875
O8 0.765 0.750 0.625

Properties
- Energy: -91.0 eV for the cell shown
- Space-group type: No. 122
- Size of the total moment: 3.1 μB per cell